Li2NiO2F | PBE+U | relaxed

**DOS(E_F)**: 2.00 states/eV/f.u.
**SG**: P-3m1
**ΔE to the lowest computed polymorph**: 0 meV/atom

Cell and atoms, written as extended XYZ:
```
12
Lattice="2.8967 0.0000 0.0000 -1.4483 2.5086 0.0000 0.0000 0.0000 14.3075" Properties=species:S:1:pos:R:3 pbc="T T T"
Li 0.0000 0.0000 0.0000
Li 0.0000 0.0000 7.1537
Li 0.0000 1.6724 2.3384
Li 1.4483 0.8362 11.9691
Ni 0.0000 1.6724 9.5488
Ni 1.4483 0.8362 4.7586
O 0.0000 0.0000 3.6808
O 0.0000 0.0000 10.6266
O 0.0000 1.6724 5.8511
O 1.4483 0.8362 8.4564
F 0.0000 1.6724 13.1354
F 1.4483 0.8362 1.1721
```